# RbLa2Sc2

Crystalline RbLa2Sc2 at its relaxed geometry (GGA-PBE, Alexandria via LeMat-Bulk).

ρ   4.18 g/cm3
Size of the total moment   0.00 μB per formula unit
Formation energy from the elements   374 meV per atom

```
RbLa2Sc2
1.0
10.163 0.000 0.000
0.000 10.163 0.000
0.000 0.000 3.487
La Sc Rb
4 4 2
Direct
0.823 0.323 0.500 La
0.177 0.677 0.500 La
0.677 0.823 0.500 La
0.323 0.177 0.500 La
0.892 0.608 0.000 Sc
0.108 0.392 0.000 Sc
0.392 0.892 0.000 Sc
0.608 0.108 0.000 Sc
0.000 0.000 0.000 Rb
0.500 0.500 0.000 Rb
```